Record 1
8
Lattice="3.330 0.000 0.000 0.000 6.583 0.000 0.000 0.000 6.019" Properties=species:S:1:pos:R:3 comment="TaAgPO (PBE, optimized geometry)" energy_ev_per_atom=-7.168 pbc="T T T"
Ta 0.000 0.249 0.000
Ta 0.000 6.334 3.009
Ag 1.665 3.134 5.913
Ag 1.665 3.449 2.903
P 1.665 1.347 1.601
P 1.665 5.236 4.611
O 0.000 1.229 4.346
O 0.000 5.354 1.336


Record 2
8
Lattice="3.330 0.000 0.000 0.000 6.583 0.000 0.000 0.000 6.019" Properties=species:S:1:pos:R:3 comment="TaAgPO (PBE, optimized geometry)" energy_ev_per_atom=-7.168 pbc="T T T"
Ta 0.000 0.249 0.000
Ta 0.000 6.334 3.009
Ag 1.665 3.134 5.913
Ag 1.665 3.449 2.903
P 1.665 1.347 1.601
P 1.665 5.236 4.611
O 0.000 1.229 4.346
O 0.000 5.354 1.336


Record 3
8
Lattice="3.929 0.000 0.000 0.000 6.624 0.000 0.000 0.000 5.086" Properties=species:S:1:pos:R:3 comment="TaAgPO (PBE, optimized geometry)" energy_ev_per_atom=-7.104 pbc="T T T"
Ta 0.000 1.005 0.000
Ta 0.000 5.619 2.543
Ag 1.964 2.864 2.894
Ag 1.964 3.760 0.351
P 0.000 1.449 2.522
P 0.000 5.175 5.065
O 1.964 1.122 0.040
O 1.964 5.502 2.583


Record 4
8
Lattice="3.558 0.000 0.000 0.000 3.558 0.000 0.000 0.000 8.823" Properties=species:S:1:pos:R:3 comment="TaAgPO (PBE, optimized geometry)" energy_ev_per_atom=-6.970 pbc="T T T"
Ta 0.890 0.890 1.296
Ta 2.669 2.669 7.527
Ag 0.890 2.669 4.412
Ag 2.669 0.890 4.412
P 0.890 0.890 6.477
P 2.669 2.669 2.346
O 0.890 2.669 0.000
O 2.669 0.890 0.000


Excess energy over the best structure of this formula in the dataset (computed, meV per atom): 0.0; 0.0; 64.3; 197.9